# 1
Compound: SmCd2RhO6
Source: Alexandria via LeMat-Bulk
Functional: GGA-PBE
Structure: optimized geometry

Results
**Space group**: P2_1/c, No. 14
**ΔE_f (raw)**: -1418 meV per atom
**Calculated volume**: 266.6 Å³ per cell

Structure (POSCAR):
```
SmCd2RhO6
1.0
5.6666 0.0000 0.0000
0.0000 5.7588 0.0000
-5.6306 0.0000 8.1692
Sm Cd Rh O
2 4 2 12
Direct
0.0000 0.0000 0.0000
0.0000 0.5000 0.5000
0.2467 0.0417 0.7450
0.2467 0.4583 0.2450
0.7533 0.5417 0.7550
0.7533 0.9583 0.2550
0.5000 0.0000 0.5000
0.5000 0.5000 0.0000
0.1599 0.0702 0.2719
0.1599 0.4298 0.7719
0.2574 0.6660 0.0526
0.2574 0.8340 0.5526
0.4109 0.2089 0.0692
0.4109 0.2911 0.5692
0.5891 0.7089 0.4308
0.5891 0.7911 0.9308
0.7426 0.1660 0.4474
0.7426 0.3340 0.9474
0.8401 0.5702 0.2281
0.8401 0.9298 0.7281
```

# 2
Compound: CdSnRhO6
Source: Alexandria via LeMat-Bulk
Functional: GGA-PBE
Structure: optimized geometry

Results
**Space group**: P-31c, No. 163
**ΔE_f (raw)**: -881 meV per atom
**Calculated volume**: 235.2 Å³ per cell

Structure (POSCAR):
```
CdSnRhO6
1.0
5.3666 0.0000 0.0000
-2.6833 4.6476 0.0000
0.0000 0.0000 9.4319
Cd Sn Rh O
2 2 2 12
Direct
0.0000 0.0000 0.0000
0.0000 0.0000 0.5000
0.3333 0.6667 0.2500
0.6667 0.3333 0.7500
0.3333 0.6667 0.7500
0.6667 0.3333 0.2500
0.0179 0.3739 0.6347
0.0179 0.6440 0.8653
0.3560 0.3739 0.8653
0.3560 0.9821 0.6347
0.3739 0.0179 0.1347
0.3739 0.3560 0.3653
0.6261 0.6440 0.6347
0.6261 0.9821 0.8653
0.6440 0.0179 0.3653
0.6440 0.6261 0.1347
0.9821 0.3560 0.1347
0.9821 0.6261 0.3653
```

# 3
Compound: SrCd2RhO5
Source: Alexandria via LeMat-Bulk
Functional: GGA-PBE
Structure: optimized geometry

Results
**Space group**: Immm, No. 71
**ΔE_f (raw)**: -1216 meV per atom
**Calculated volume**: 123.4 Å³ per cell

Structure (POSCAR):
```
SrCd2RhO5
1.0
-1.8738 2.8441 5.7897
1.8738 -2.8441 5.7897
1.8738 2.8441 -5.7897
Sr Cd Rh O
1 2 1 5
Direct
0.0000 0.0000 0.0000
0.2838 0.7838 0.5000
0.7162 0.2162 0.5000
0.5000 0.5000 0.0000
0.1237 0.3688 0.7549
0.3860 0.6312 0.7549
0.5000 0.0000 0.5000
0.6140 0.3688 0.2451
0.8763 0.6312 0.2451
```

# 4
Compound: Sr2CdRh3O8
Source: Alexandria via LeMat-Bulk
Functional: GGA-PBE
Structure: optimized geometry

Results
**Space group**: R3m, No. 160
**ΔE_f (raw)**: -1351 meV per atom
**Calculated volume**: 208.2 Å³ per cell

Structure (POSCAR):
```
Sr2CdRh3O8
1.0
3.2372 1.8690 5.7362
-3.2372 1.8690 5.7362
0.0000 -3.7380 5.7362
Sr Cd Rh O
2 1 3 8
Direct
0.0000 0.0000 0.0000
0.3596 0.3596 0.3596
0.8088 0.8088 0.8088
0.3662 0.3662 0.8626
0.3662 0.8626 0.3662
0.8626 0.3662 0.3662
0.1017 0.1017 0.5669
0.1017 0.5669 0.1017
0.1409 0.1409 0.1409
0.1789 0.6114 0.6114
0.5669 0.1017 0.1017
0.5886 0.5886 0.5886
0.6114 0.1789 0.6114
0.6114 0.6114 0.1789
```

# 5
Compound: Sr2CdRhO5
Source: Alexandria via LeMat-Bulk
Functional: GGA-PBE
Structure: optimized geometry

Results
**Space group**: Cmcm, No. 63
**ΔE_f (raw)**: -1689 meV per atom
**Calculated volume**: 248.5 Å³ per cell

Structure (POSCAR):
```
Sr2CdRhO5
1.0
1.6855 -7.7825 0.0000
1.6855 7.7825 0.0000
0.0000 0.0000 9.4735
Sr Cd Rh O
4 2 2 10
Direct
0.1249 0.8751 0.5286
0.1249 0.8751 0.9714
0.8751 0.1249 0.0286
0.8751 0.1249 0.4714
0.4864 0.5136 0.7500
0.5136 0.4864 0.2500
0.2309 0.7691 0.2500
0.7691 0.2309 0.7500
0.1020 0.8980 0.2500
0.2750 0.7250 0.6197
0.2750 0.7250 0.8803
0.3645 0.6355 0.2500
0.5000 0.5000 0.0000
0.5000 0.5000 0.5000
0.6355 0.3645 0.7500
0.7250 0.2750 0.1197
0.7250 0.2750 0.3803
0.8980 0.1020 0.7500
```

# 6
Compound: TaCdRhO6
Source: Alexandria via LeMat-Bulk
Functional: GGA-PBE
Structure: optimized geometry

Results
**Space group**: P4_2nm, No. 102
**ΔE_f (raw)**: -1477 meV per atom
**Calculated volume**: 224.4 Å³ per cell

Structure (POSCAR):
```
TaCdRhO6
1.0
4.8467 0.0000 0.0000
0.0000 4.8467 0.0000
0.0000 0.0000 9.5510
Ta Cd Rh O
2 2 2 12
Direct
0.0000 0.0000 0.0000
0.5000 0.5000 0.5000
0.0000 0.0000 0.3319
0.5000 0.5000 0.8319
0.0000 0.0000 0.6645
0.5000 0.5000 0.1645
0.1760 0.1760 0.8306
0.2116 0.2116 0.5173
0.2169 0.2169 0.1427
0.2831 0.7169 0.6427
0.2884 0.7116 0.0173
0.3240 0.6760 0.3306
0.6760 0.3240 0.3306
0.7116 0.2884 0.0173
0.7169 0.2831 0.6427
0.7831 0.7831 0.1427
0.7884 0.7884 0.5173
0.8240 0.8240 0.8306
```

# 7
Compound: TbCdRhO4
Source: Alexandria via LeMat-Bulk
Functional: GGA-PBE
Structure: optimized geometry

Results
**Space group**: Imma, No. 74
**ΔE_f (raw)**: -1759 meV per atom
**Calculated volume**: 198.5 Å³ per cell

Structure (POSCAR):
```
TbCdRhO4
1.0
-3.2847 3.4194 4.4187
3.2847 -3.4194 4.4187
3.2847 3.4194 -4.4187
Tb Cd Rh O
2 2 2 8
Direct
0.0000 0.0000 0.0000
0.5000 0.0000 0.5000
0.3667 0.6167 0.7500
0.6333 0.3833 0.2500
0.0000 0.0000 0.5000
0.0000 0.5000 0.0000
0.1908 0.7417 0.4491
0.2074 0.2583 0.9491
0.2379 0.2106 0.4726
0.2379 0.7653 0.0274
0.7621 0.2347 0.9726
0.7621 0.7894 0.5274
0.7926 0.7417 0.0509
0.8092 0.2583 0.5509
```

# 8
Compound: Cd2TcRhO6
Source: Alexandria via LeMat-Bulk
Functional: GGA-PBE
Structure: optimized geometry

Results
**Space group**: P4mm, No. 99
**ΔE_f (raw)**: -765 meV per atom
**Calculated volume**: 127.4 Å³ per cell

Structure (POSCAR):
```
Cd2TcRhO6
1.0
5.4938 0.0000 0.0000
0.0000 5.4938 0.0000
0.0000 0.0000 4.2199
Cd Tc Rh O
2 1 1 6
Direct
0.0000 0.5000 0.0000
0.5000 0.0000 0.0000
0.0000 0.0000 0.5511
0.5000 0.5000 0.5903
0.0000 0.0000 0.1101
0.2437 0.2437 0.6260
0.2437 0.7563 0.6260
0.5000 0.5000 0.0983
0.7563 0.2437 0.6260
0.7563 0.7563 0.6260
```

| no. | density (g/cm³) |
| --- | --- |
| 1 | 7.15 |
| 2 | 6.07 |
| 3 | 6.66 |
| 4 | 5.78 |
| 5 | 6.29 |
| 6 | 7.29 |
| 7 | 7.33 |
| 8 | 6.80 |